VASP calculation (PBE-GGA) on a geometry-optimized RbYIn2P structure.

The calculation puts the formation enthalpy at 0 K at 0.55 eV per atom. As for the offset from the most stable computed form: 0.0000 eV per atom.

Cell and atoms, written as CIF:
```
data_RbYIn2P
_cell_length_a 5.6254
_cell_length_b 5.6254
_cell_length_c 6.5326
_cell_angle_alpha 90.00
_cell_angle_beta 90.00
_cell_angle_gamma 90.00
_space_group_name_H-M_alt 'P 4/m m m'
_space_group_IT_number 123
_space_group_name_Hall '-P 4 2'
loop_
_atom_site_label
_atom_site_type_symbol
_atom_site_fract_x
_atom_site_fract_y
_atom_site_fract_z
Rb1 Rb 0.0000 0.0000 0.0000
Y1 Y 0.5000 0.5000 0.0000
In1 In 0.0000 0.5000 0.5000
P1 P 0.0000 0.0000 0.5000
```